Record 1
Material: VHgTe2
Method: DFT, PBE-GGA
State: optimized geometry

Lattice parameters (Å, degrees): 6.4749 3.4967 9.7695 90.00 80.17 90.00
Atoms (fractional coordinates):
Te 0.5876 0.2222 0.2430
Te 0.3309 0.7222 0.6537
Te 0.8528 0.2222 0.5847
Te 0.0656 0.7222 0.3120
Hg 0.7454 0.7227 0.9044
Hg 0.1686 0.2225 0.9921
V 0.6445 0.7222 0.4401
V 0.2739 0.2222 0.4566

Values from the calculation:
The value obtained for the uncorrected formation energy is -0.88 eV per formula unit.

---

Record 2
Material: PmTm2Au6
Method: DFT, PBE-GGA
State: optimized geometry

Lattice parameters (Å, degrees): 5.2784 8.8273 8.8273 76.53 80.94 80.94
Atoms (fractional coordinates):
Tm 0.4139 0.5435 0.7901
Tm 0.5861 0.4565 0.2099
Tm 0.0861 0.2099 0.4565
Tm 0.9139 0.7901 0.5435
Au 0.0249 0.5640 0.3241
Au 0.1461 0.3551 0.1021
Au 0.8539 0.6449 0.8979
Au 0.4751 0.6759 0.4360
Au 0.6869 0.2458 0.9825
Au 0.1869 0.9825 0.2458
Au 0.3131 0.7542 0.0175
Au 0.6461 0.1021 0.3551
Au 0.8131 0.0175 0.7542
Au 0.3539 0.8979 0.6449
Au 0.9751 0.4360 0.6759
Au 0.5249 0.3241 0.5640
Pm 0.2500 0.1256 0.8744
Pm 0.7500 0.8744 0.1256

Values from the calculation:
Its formation energy from the elements is -0.742 eV per atom.

---

Record 3
Material: ZnSeO2F
Method: DFT, PBE-GGA
State: optimized geometry

Lattice parameters (Å, degrees): 3.9742 3.9742 3.8511 90.00 90.00 90.00
Atoms (fractional coordinates):
O 0.0000 0.5000 0.0000
O 0.5000 0.0000 0.0000
Zn 0.0000 0.0000 0.0000
Se 0.5000 0.5000 0.5000
F 0.0000 0.0000 0.5000

Values from the calculation:
The value obtained for the uncorrected formation energy is -1.40 eV per formula unit.

---

Record 4
Material: Sr3Tl2Hg8
Method: DFT, PBE-GGA
State: optimized geometry

Lattice parameters (Å, degrees): 6.3300 6.3300 12.7519 75.63 75.63 60.00
Atoms (fractional coordinates):
Hg 0.1839 0.7078 0.4005
Hg 0.3181 0.3181 0.0458
Hg 0.6819 0.6819 0.9542
Hg 0.8161 0.2922 0.5995
Hg 0.7078 0.1839 0.4005
Hg 0.7078 0.7078 0.4005
Hg 0.2922 0.2922 0.5995
Hg 0.2922 0.8161 0.5995
Sr 0.2313 0.2313 0.3060
Sr 0.0000 0.0000 0.0000
Sr 0.7687 0.7687 0.6940
Tl 0.6017 0.6017 0.1948
Tl 0.3983 0.3983 0.8052

Values from the calculation:
Its formation energy from the elements is -0.219 eV per atom.

---

Record 5
Material: KMg4Sc
Method: DFT, PBE-GGA
State: optimized geometry

Lattice parameters (Å, degrees): 6.1651 6.1651 6.1651 60.00 60.00 60.00
Atoms (fractional coordinates):
K 0.0000 0.0000 0.0000
Sc 0.7500 0.7500 0.7500
Mg 0.3764 0.3764 0.3764
Mg 0.3764 0.8707 0.3764
Mg 0.3764 0.3764 0.8707
Mg 0.8707 0.3764 0.3764

Values from the calculation:
Its formation energy from the elements is 0.202 eV per atom.

---

Record 6
Material: MgSnPb
Method: DFT, PBE-GGA
State: optimized geometry

Lattice parameters (Å, degrees): 4.9816 4.9816 4.9816 60.00 60.00 60.00
Atoms (fractional coordinates):
Sn 0.0000 0.0000 0.0000
Mg 0.2500 0.2500 0.2500
Pb 0.5000 0.5000 0.5000

Values from the calculation:
The calculation puts the offset from the most stable computed form at 31 meV/atom. Its formation energy from the elements is -0.002 eV per atom.

---

Record 7
Material: Cr2CoAg
Method: DFT, PBE-GGA
State: optimized geometry

Lattice parameters (Å, degrees): 4.6668 4.6668 2.5634 90.04 90.04 114.03
Atoms (fractional coordinates):
Ag 0.5000 0.0000 0.5000
Cr 0.0000 0.0000 0.0000
Cr 0.5000 0.5000 0.0000
Co 0.0000 0.5000 0.5000

Values from the calculation:
The calculation puts the offset from the most stable computed form at 225 meV/atom. Its formation energy from the elements is 0.574 eV per atom.

---

Record 8
Material: Tb2Er6Pu
Method: DFT, PBE-GGA
State: optimized geometry

Lattice parameters (Å, degrees): 3.5336 8.7124 9.3443 94.46 79.05 78.29
Atoms (fractional coordinates):
Er 0.1294 0.1683 0.5727
Er 0.5362 0.8349 0.0927
Er 0.2032 0.8348 0.7581
Er 0.8706 0.8317 0.4273
Er 0.4638 0.1651 0.9073
Er 0.7968 0.1652 0.2419
Pu 0.5000 0.5000 0.5000
Tb 0.8339 0.5012 0.8307
Tb 0.1661 0.4988 0.1693

Values from the calculation:
Its formation energy from the elements is 0.025 eV per atom.

---

Record 9
Material: USbS4
Method: DFT, PBE-GGA
State: optimized geometry

Lattice parameters (Å, degrees): 3.9835 6.8954 7.6590 63.21 74.92 90.00
Atoms (fractional coordinates):
S 0.3938 0.0514 0.2123
S 0.8926 0.5776 0.2147
S 0.6062 0.9486 0.7877
S 0.1074 0.4224 0.7853
U 0.0000 0.0000 0.0000
Sb 0.5000 0.5000 0.0000

Values from the calculation:
The value obtained for the uncorrected formation energy is -4.94 eV per formula unit.

---

Record 10
Material: Ac3CdRh
Method: DFT, PBE-GGA
State: optimized geometry

Lattice parameters (Å, degrees): 5.9724 7.2064 9.7225 110.71 89.93 114.45
Atoms (fractional coordinates):
Rh 0.8715 0.7401 0.0639
Rh 0.1285 0.2599 0.9361
Ac 0.8907 0.7814 0.7689
Ac 0.1578 0.3168 0.6485
Ac 0.6221 0.2468 0.9140
Ac 0.8422 0.6832 0.3515
Ac 0.1093 0.2186 0.2311
Ac 0.3779 0.7532 0.0860
Cd 0.4006 0.8012 0.5459
Cd 0.5994 0.1988 0.4541

Values from the calculation:
The calculation puts the offset from the most stable computed form at 0 meV/atom. Its formation energy from the elements is -0.412 eV per atom.